# 1
! PWBr, PBEsol geometry, DFT SCAN; values from VASP
! - space-group type = Fmm2
! - N(E_F) (states/eV/cell) = 2.22
! - crystal system = orthorhombic
! - uncorrected formation energy (eV/atom) = 0.61
&SYSTEM
  ibrav = 0, nat = 3, ntyp = 3
/
ATOMIC_SPECIES
P 30.97 P.upf
W 183.84 W.upf
Br 79.90 Br.upf
ATOMIC_POSITIONS crystal
P 0.000 0.000 0.000
W 0.374 0.374 0.626
Br 0.714 0.714 0.286
CELL_PARAMETERS angstrom
0.000 2.611 6.525
1.656 0.000 6.525
1.656 2.611 0.000


# 2
! PWBr2, PBEsol geometry, DFT SCAN; values from VASP
! - space-group type = Pmmm
! - N(E_F) (states/eV/cell) = 2.58
! - crystal system = orthorhombic
! - uncorrected formation energy (eV/atom) = 1.35
! - offset from the most stable computed form (meV per atom) = 1020
&SYSTEM
  ibrav = 0, nat = 4, ntyp = 3
/
ATOMIC_SPECIES
P 30.97 P.upf
W 183.84 W.upf
Br 79.90 Br.upf
ATOMIC_POSITIONS crystal
P 0.000 0.000 0.000
W 0.500 0.000 0.500
Br 0.000 0.500 0.500
Br 0.500 0.500 0.000
CELL_PARAMETERS angstrom
2.995 0.000 0.000
0.000 4.526 0.000
0.000 0.000 5.263


# 3
! PW2Br, PBEsol geometry, DFT SCAN; values from VASP
! - space-group type = F-43m
! - N(E_F) (states/eV/cell) = 3.78
! - crystal system = cubic
! - uncorrected formation energy (eV/atom) = 1.43
! - offset from the most stable computed form (meV per atom) = 437
&SYSTEM
  ibrav = 0, nat = 4, ntyp = 3
/
ATOMIC_SPECIES
P 30.97 P.upf
W 183.84 W.upf
Br 79.90 Br.upf
ATOMIC_POSITIONS crystal
P 0.000 0.000 0.000
W 0.250 0.250 0.250
W 0.500 0.500 0.500
Br 0.750 0.750 0.750
CELL_PARAMETERS angstrom
0.000 3.183 3.183
3.183 0.000 3.183
3.183 3.183 0.000


# 4
! P2WBr, PBEsol geometry, DFT SCAN; values from VASP
! - space-group type = C2/m
! - N(E_F) (states/eV/cell) = 1.92
! - crystal system = monoclinic
! - uncorrected formation energy (eV/atom) = 1.02
&SYSTEM
  ibrav = 0, nat = 4, ntyp = 3
/
ATOMIC_SPECIES
P 30.97 P.upf
W 183.84 W.upf
Br 79.90 Br.upf
ATOMIC_POSITIONS crystal
P 0.000 0.500 0.000
P 0.500 0.000 0.000
W 0.000 0.000 0.500
Br 0.500 0.500 0.500
CELL_PARAMETERS angstrom
2.902 -3.595 0.000
2.902 3.595 0.000
-1.012 0.000 3.030


# 5
! PWBr2, PBEsol geometry, DFT SCAN; values from VASP
! - space-group type = P4mm
! - N(E_F) (states/eV/cell) = 2.19
! - crystal system = tetragonal
! - uncorrected formation energy (eV/atom) = 0.33
! - offset from the most stable computed form (meV per atom) = 0
&SYSTEM
  ibrav = 0, nat = 4, ntyp = 3
/
ATOMIC_SPECIES
P 30.97 P.upf
W 183.84 W.upf
Br 79.90 Br.upf
ATOMIC_POSITIONS crystal
P 0.000 0.000 0.000
W 0.500 0.500 0.148
Br 0.000 0.000 0.338
Br 0.500 0.500 0.679
CELL_PARAMETERS angstrom
3.016 0.000 0.000
0.000 3.016 0.000
0.000 0.000 9.110


# 6
! PW2Br, PBEsol geometry, DFT SCAN; values from VASP
! - space-group type = P4/mmm
! - N(E_F) (states/eV/cell) = 2.67
! - crystal system = tetragonal
! - uncorrected formation energy (eV/atom) = 0.99
! - offset from the most stable computed form (meV per atom) = 0
&SYSTEM
  ibrav = 0, nat = 4, ntyp = 3
/
ATOMIC_SPECIES
P 30.97 P.upf
W 183.84 W.upf
Br 79.90 Br.upf
ATOMIC_POSITIONS crystal
P 0.000 0.000 0.000
W 0.000 0.500 0.500
W 0.500 0.000 0.500
Br 0.500 0.500 0.000
CELL_PARAMETERS angstrom
4.347 0.000 0.000
0.000 4.347 0.000
0.000 0.000 3.065


# 7
! YP3Br, PBEsol geometry, DFT SCAN; values from VASP
! - space-group type = Pm-3m
! - N(E_F) (states/eV/cell) = 7.17
! - crystal system = cubic
! - uncorrected formation energy (eV/atom) = 0.79
&SYSTEM
  ibrav = 0, nat = 5, ntyp = 3
/
ATOMIC_SPECIES
Y 88.91 Y.upf
P 30.97 P.upf
Br 79.90 Br.upf
ATOMIC_POSITIONS crystal
Y 0.000 0.000 0.000
P 0.000 0.000 0.500
P 0.000 0.500 0.000
P 0.500 0.000 0.000
Br 0.500 0.500 0.500
CELL_PARAMETERS angstrom
5.213 0.000 0.000
0.000 5.213 0.000
0.000 0.000 5.213


# 8
! YPBr3, PBEsol geometry, DFT SCAN; values from VASP
! - space-group type = Pm-3m
! - N(E_F) (states/eV/cell) = 4.36
! - crystal system = cubic
! - uncorrected formation energy (eV/atom) = -0.03
&SYSTEM
  ibrav = 0, nat = 5, ntyp = 3
/
ATOMIC_SPECIES
Y 88.91 Y.upf
P 30.97 P.upf
Br 79.90 Br.upf
ATOMIC_POSITIONS crystal
Y 0.000 0.000 0.000
P 0.500 0.500 0.500
Br 0.000 0.500 0.500
Br 0.500 0.000 0.500
Br 0.500 0.500 0.000
CELL_PARAMETERS angstrom
5.104 0.000 0.000
0.000 5.104 0.000
0.000 0.000 5.104